# 1
Crystalline ReTc3C at its relaxed geometry. Source: the Alexandria database, functional PBE-GGA.

- E_form (eV per atom) = 0.058
- uncorrected energy (eV for the cell shown) = -209.924
- polymorph energy (0 for the lowest one) (eV/f.u.) = 0.00

Cell lengths 8.8993, 4.1232, 7.8847 Å; angles 90.00, 115.98, 90.00 degrees
Closest atoms and distances in Å follow each position.
Space group C2/m (No. 12)
Inequivalent atoms, fractional coordinates:
Re  0.1240  0.0000  0.4389  9 Tc 2.67-2.87, 3 Re 2.77-2.88
Tc  0.1174  0.0000  0.9256  3 C 2.06-2.08
Tc  0.1252  0.5000  0.6732  1 C 2.07
Tc  0.1327  0.5000  0.2089  2 C 2.05-2.13
C  0.1224  0.5000  0.9345  6 Tc 2.05-2.13



# 2
Crystalline ReTc3C at its relaxed geometry. Source: the Alexandria database, functional PBE-GGA.

- E_form (eV per atom) = 3.000
- uncorrected energy (eV for the cell shown) = -37.769
- polymorph energy (0 for the lowest one) (eV/f.u.) = 14.71

Cell lengths 4.6902, 4.6902, 4.6902 Å; angles 90.00, 90.00, 90.00 degrees
Closest atoms and distances in Å follow each position.
Space group Pm-3m (No. 221)
Inequivalent atoms, fractional coordinates:
Re  0.0000  0.0000  0.0000  6 Tc 2.35
Tc  0.0000  0.0000  0.5000  2 Re 2.35
C  0.5000  0.5000  0.5000  12 Tc 3.32



# 3
Crystalline Re3TcC at its relaxed geometry. Source: the Alexandria database, functional PBE-GGA.

- E_form (eV per atom) = 0.275
- uncorrected energy (eV for the cell shown) = -55.560
- polymorph energy (0 for the lowest one) (eV/f.u.) = 0.00

Cell lengths 4.0697, 4.0697, 4.0697 Å; angles 90.00, 90.00, 90.00 degrees
Closest atoms and distances in Å follow each position.
Space group Pm-3m (No. 221)
Inequivalent atoms, fractional coordinates:
Re  0.0000  0.0000  0.5000  2 C 2.03
Tc  0.5000  0.5000  0.5000  12 Re 2.88
C  0.0000  0.0000  0.0000  6 Re 2.03



# 4
Crystalline ReTc3C at its relaxed geometry. Source: the Alexandria database, functional PBE-GGA.

- E_form (eV per atom) = 0.172
- uncorrected energy (eV for the cell shown) = -51.909
- polymorph energy (0 for the lowest one) (eV/f.u.) = 0.57

Cell lengths 4.0461, 4.0461, 4.0461 Å; angles 90.00, 90.00, 90.00 degrees
Closest atoms and distances in Å follow each position.
Space group Pm-3m (No. 221)
Inequivalent atoms, fractional coordinates:
Re  0.0000  0.0000  0.0000  12 Tc 2.86
Tc  0.0000  0.5000  0.5000  2 C 2.02
C  0.5000  0.5000  0.5000  6 Tc 2.02